# LaAl6Fe6

Crystalline LaAl6Fe6 at its relaxed geometry (GGA-PBE, the Alexandria database).

Lattice parameters (Å, degrees): 5.0037 8.6292 8.7535 90.00 90.00 90.00
Space group Immm (No. 71)
Symmetry-distinct sites (fractional):
La: 0.0000 0.0000 0.0000 (multiplicity 2)
Al: 0.0000 0.0000 0.3496 (multiplicity 4)
Al: 0.0000 0.3414 0.0000 (multiplicity 4)
Al: 0.0000 0.5000 0.2980 (multiplicity 4)
Fe: 0.0000 0.2582 0.5000 (multiplicity 4)
Fe: 0.2500 0.2500 0.2500 (multiplicity 8)

Crystal system   orthorhombic
ΔH_f (0 K)   -318 meV per atom
Size of the total moment   20.3 μB per cell
VASP energy   -6.330 eV/atom
DOS(E_F)   19.21 states/eV/cell